1.
A relaxed structure of Zr2ZnAu, computed with PBE.

Density of states at the Fermi level (states/eV per atom): 0.7947
E_tot (eV per atom): -5.566
SG: C2/m, No. 12
V (Å³ per atom): 20.59

a = 4.9184 Å, b = 4.9184 Å, c = 5.6227 Å
α = 79.66°, β = 79.66°, γ = 38.07°
Closest atoms and distances in Å follow each position.
Element x y z (fractional)
Au 0.7500 0.7500 0.7500  6 Zr 2.97-2.99, 2 Au 3.21, 4 Zn 3.24
Zr 0.0012 0.0012 0.0135  3 Zn 2.88-2.94, 3 Au 2.97-2.99, 4 Zr 3.10-3.21
Zr 0.4988 0.4988 0.4865  3 Zn 2.88-2.94, 3 Au 2.97-2.99, 4 Zr 3.10-3.21
Zn 0.2500 0.2500 0.2500  6 Zr 2.88-2.94, 2 Zn 3.21

=====

2.
A relaxed structure of ZrZn3Au, computed with PBE.

ΔE to the lowest computed polymorph (meV/atom): 606
Density of states at the Fermi level (states/eV per atom): 0.8408
E_tot (eV per atom): -2.762
SG: Pm-3m, No. 221
V (Å³ per atom): 21.39

a = 4.7464 Å, b = 4.7464 Å, c = 4.7464 Å
α = 90.00°, β = 90.00°, γ = 90.00°
Closest atoms and distances in Å follow each position.
Element x y z (fractional)
Zn 0.5000 0.0000 0.0000  2 Au 2.37
Zn 0.0000 0.0000 0.5000  2 Au 2.37
Zn 0.0000 0.5000 0.0000  2 Au 2.37
Au 0.0000 0.0000 0.0000  6 Zn 2.37
Zr 0.5000 0.5000 0.5000  12 Zn 3.36